First-principles (PBE-GGA) data for a geometry-optimized KScAgI6 structure, as listed in the Alexandria database.

Lattice parameters (Å, degrees): 7.483 7.492 7.704 93.01 93.19 114.33
Fractional positions:
K: 0.000 0.000 0.000
Sc: 0.338 0.663 0.501
Ag: 0.682 0.315 0.502
I: 0.032 0.629 0.256
I: 0.039 0.362 0.690
I: 0.376 0.967 0.750
I: 0.407 0.377 0.269
I: 0.624 0.591 0.734
I: 0.639 0.961 0.314

Results
For the density of states at the Fermi level, the calculation gives 5.8 states/eV/cell. The symmetry is No. 1. As for the formation energy from raw total energies: -0.876 eV per atom.


First-principles (PBE-GGA) data for a geometry-optimized KSc2AgI8 structure, as listed in the Alexandria database.

Lattice parameters (Å, degrees): 7.969 8.397 8.601 84.04 89.20 70.49
Fractional positions:
K: 0.000 0.000 0.000
Sc: 0.019 0.495 0.256
Sc: 0.981 0.505 0.744
Ag: 0.000 0.000 0.500
I: 0.192 0.740 0.714
I: 0.222 0.287 0.534
I: 0.225 0.302 0.002
I: 0.256 0.675 0.246
I: 0.744 0.325 0.754
I: 0.775 0.698 0.998
I: 0.778 0.713 0.466
I: 0.808 0.260 0.286

Results
The symmetry is No. 2. As for the formation energy from raw total energies: -1.066 eV per atom.


First-principles (PBE-GGA) data for a geometry-optimized K2AgSeI structure, as listed in the Alexandria database.

Lattice parameters (Å, degrees): 6.382 6.382 4.917 90.00 90.00 90.00
Fractional positions:
K: 0.000 0.500 0.000
K: 0.500 0.000 0.000
Ag: 0.000 0.000 0.500
Se: 0.000 0.000 0.000
I: 0.500 0.500 0.500

Results
The symmetry is No. 123. As for the formation energy from raw total energies: -0.900 eV per atom.


First-principles (PBE-GGA) data for a geometry-optimized K2SiAgI structure, as listed in the Alexandria database.

Lattice parameters (Å, degrees): 6.622 6.622 5.407 90.00 90.00 90.00
Fractional positions:
K: 0.000 0.500 0.000
K: 0.500 0.000 0.000
Si: 0.000 0.000 0.000
Ag: 0.500 0.500 0.500
I: 0.000 0.000 0.500

Results
For the density of states at the Fermi level, the calculation gives 4.1 states/eV/cell. The symmetry is No. 123. As for the formation energy from raw total energies: 0.277 eV per atom.


First-principles (PBE-GGA) data for a geometry-optimized K2SmAgI6 structure, as listed in the Alexandria database.

Lattice parameters (Å, degrees): 8.203 8.693 14.198 90.00 124.96 90.00
Fractional positions:
K: 0.216 0.088 0.247
K: 0.216 0.412 0.747
K: 0.784 0.588 0.253
K: 0.784 0.912 0.753
Sm: 0.500 0.000 0.000
Sm: 0.500 0.500 0.500
Ag: 0.000 0.000 0.500
Ag: 0.000 0.500 0.000
I: 0.138 0.192 0.945
I: 0.138 0.308 0.445
I: 0.261 0.697 0.948
I: 0.261 0.803 0.448
I: 0.355 0.023 0.745
I: 0.355 0.477 0.245
I: 0.645 0.523 0.755
I: 0.645 0.977 0.255
I: 0.739 0.197 0.552
I: 0.739 0.303 0.052
I: 0.862 0.692 0.555
I: 0.862 0.808 0.055

Results
For the density of states at the Fermi level, the calculation gives 0.0 states/eV/cell. The symmetry is No. 14. As for the formation energy from raw total energies: -1.188 eV per atom.


First-principles (PBE-GGA) data for a geometry-optimized KSmAgI5 structure, as listed in the Alexandria database.

Lattice parameters (Å, degrees): 8.503 8.503 11.541 102.92 102.92 107.83
Fractional positions:
K: 0.135 0.865 0.750
K: 0.865 0.135 0.250
Sm: 0.500 0.500 0.000
Sm: 0.500 0.500 0.500
Ag: 0.190 0.810 0.250
Ag: 0.810 0.190 0.750
I: 0.120 0.255 0.948
I: 0.173 0.570 0.386
I: 0.255 0.120 0.448
I: 0.412 0.588 0.750
I: 0.430 0.827 0.114
I: 0.570 0.173 0.886
I: 0.588 0.412 0.250
I: 0.745 0.880 0.552
I: 0.827 0.430 0.614
I: 0.880 0.745 0.052

Results
For the density of states at the Fermi level, the calculation gives 0.0 states/eV/cell. The symmetry is No. 15. As for the formation energy from raw total energies: -1.116 eV per atom.


First-principles (PBE-GGA) data for a geometry-optimized KSmAg2I6 structure, as listed in the Alexandria database.

Lattice parameters (Å, degrees): 8.086 8.087 9.279 64.17 64.23 60.02
Fractional positions:
K: 0.000 0.000 0.000
Sm: 0.500 0.500 0.500
Ag: 0.233 0.233 0.300
Ag: 0.767 0.767 0.700
I: 0.112 0.733 0.727
I: 0.267 0.572 0.272
I: 0.428 0.112 0.728
I: 0.572 0.888 0.272
I: 0.733 0.428 0.728
I: 0.888 0.267 0.273

Results
For the density of states at the Fermi level, the calculation gives 0.0 states/eV/cell. The symmetry is No. 2. As for the formation energy from raw total energies: -0.928 eV per atom.


First-principles (PBE-GGA) data for a geometry-optimized KAgSnI4 structure, as listed in the Alexandria database.

Lattice parameters (Å, degrees): 7.595 8.606 9.461 90.00 107.23 90.00
Fractional positions:
K: 0.202 0.250 0.046
K: 0.798 0.750 0.954
Ag: 0.213 0.750 0.322
Ag: 0.787 0.250 0.678
Sn: 0.211 0.250 0.555
Sn: 0.789 0.750 0.445
I: 0.023 0.513 0.730
I: 0.023 0.987 0.730
I: 0.470 0.750 0.151
I: 0.490 0.750 0.602
I: 0.510 0.250 0.398
I: 0.530 0.250 0.849
I: 0.977 0.013 0.270
I: 0.977 0.487 0.270

Results
For the density of states at the Fermi level, the calculation gives 0.0 states/eV/cell. The symmetry is No. 11. As for the formation energy from raw total energies: -0.664 eV per atom.


First-principles (PBE-GGA) data for a geometry-optimized KAgSn2I6 structure, as listed in the Alexandria database.

Lattice parameters (Å, degrees): 8.762 8.762 8.762 55.13 55.13 55.13
Fractional positions:
K: 0.000 0.000 0.000
Ag: 0.490 0.490 0.490
Sn: 0.298 0.298 0.298
Sn: 0.807 0.807 0.807
I: 0.083 0.670 0.443
I: 0.228 0.558 0.890
I: 0.443 0.083 0.670
I: 0.558 0.890 0.228
I: 0.670 0.443 0.083
I: 0.890 0.228 0.558

Results
For the density of states at the Fermi level, the calculation gives 0.0 states/eV/cell. The symmetry is No. 146. As for the formation energy from raw total energies: -0.606 eV per atom.


First-principles (PBE-GGA) data for a geometry-optimized K2AgSnI5 structure, as listed in the Alexandria database.

Lattice parameters (Å, degrees): 10.639 10.639 15.176 90.00 90.00 154.32
Fractional positions:
K: 0.106 0.894 0.500
K: 0.123 0.877 0.144
K: 0.877 0.123 0.644
K: 0.894 0.106 0.000
Ag: 0.443 0.557 0.258
Ag: 0.557 0.443 0.758
Sn: 0.208 0.792 0.845
Sn: 0.792 0.208 0.345
I: 0.049 0.951 0.860
I: 0.284 0.716 0.490
I: 0.301 0.699 0.198
I: 0.357 0.643 0.827
I: 0.498 0.502 0.592
I: 0.502 0.498 0.092
I: 0.643 0.357 0.327
I: 0.699 0.301 0.698
I: 0.716 0.284 0.990
I: 0.951 0.049 0.360

Results
For the density of states at the Fermi level, the calculation gives 0.0 states/eV/cell. The symmetry is No. 36. As for the formation energy from raw total energies: -0.883 eV per atom.


First-principles (PBE-GGA) data for a geometry-optimized K2AgSnI6 structure, as listed in the Alexandria database.

Lattice parameters (Å, degrees): 8.182 8.486 14.257 90.00 124.84 90.00
Fractional positions:
K: 0.223 0.077 0.248
K: 0.223 0.423 0.748
K: 0.777 0.577 0.252
K: 0.777 0.923 0.752
Ag: 0.000 0.000 0.500
Ag: 0.000 0.500 0.000
Sn: 0.500 0.000 0.000
Sn: 0.500 0.500 0.500
I: 0.152 0.205 0.953
I: 0.152 0.295 0.453
I: 0.255 0.700 0.956
I: 0.255 0.800 0.456
I: 0.340 0.014 0.747
I: 0.340 0.486 0.247
I: 0.660 0.514 0.753
I: 0.660 0.986 0.253
I: 0.745 0.200 0.544
I: 0.745 0.300 0.044
I: 0.848 0.705 0.547
I: 0.848 0.795 0.047

Results
For the density of states at the Fermi level, the calculation gives 5.8 states/eV/cell. The symmetry is No. 14. As for the formation energy from raw total energies: -0.781 eV per atom.


First-principles (PBE-GGA) data for a geometry-optimized K2Ag2SnI6 structure, as listed in the Alexandria database.

Lattice parameters (Å, degrees): 8.669 8.669 8.465 115.60 115.60 60.63
Fractional positions:
K: 0.241 0.241 0.187
K: 0.759 0.759 0.813
Ag: 0.447 0.447 0.795
Ag: 0.553 0.553 0.205
Sn: 0.000 0.000 0.500
I: 0.179 0.684 0.180
I: 0.234 0.234 0.594
I: 0.316 0.821 0.820
I: 0.684 0.179 0.180
I: 0.766 0.766 0.406
I: 0.821 0.316 0.820

Results
For the density of states at the Fermi level, the calculation gives 0.0 states/eV/cell. The symmetry is No. 12. As for the formation energy from raw total energies: -0.723 eV per atom.


no.,VASP energy (eV per atom),magnetic moment (μB per formula unit)
1,-3.0515,0.00
2,-3.4839,0.00
3,-2.9158,0.00
4,-2.1271,0.00
5,-3.0944,0.00
6,-3.1680,0.00
7,-3.0097,0.00
8,-2.6852,0.00
9,-2.7315,0.00
10,-2.7499,0.00
11,-2.6162,0.00
12,-2.6506,0.00